{"formula": "MgMoPO2", "functional": "PBE+U", "state": "optimized geometry", "density_g_cm3": 3.99, "total_energy_ev_per_cell": -24.76, "lattice": [[3.793, 0.000, 0.000], [0.000, 3.793, 0.000], [0.000, 0.000, 5.301]], "species": ["P", "Mo", "Mg", "O", "O"], "fractional_positions": [[0.000, 0.000, 0.500], [0.500, 0.500, 0.500], [0.000, 0.000, 0.000], [0.000, 0.500, 0.000], [0.500, 0.000, 0.000]]}